i) A relaxed BeHgCl4 crystal, computed with PBE.

Unit cell a=6.0134 b=6.0134 c=6.0134 alpha=60.00 beta=60.00 gamma=60.00
Fractional coordinates of all 6 atoms:
Hg  0.7500  0.7500  0.7500
Be  0.0000  0.0000  0.0000
Cl  0.3749  0.8752  0.3749
Cl  0.8752  0.3749  0.3749
Cl  0.3749  0.3749  0.8752
Cl  0.3749  0.3749  0.3749

* total magnetization: 3.9 μB per cell

---

ii) A relaxed BeHgCl4 crystal, computed with PBE.

Unit cell a=7.0460 b=7.0460 c=9.3747 alpha=90.00 beta=90.00 gamma=90.00
Fractional coordinates of all 12 atoms:
Cl  0.2207  0.7101  0.0000
Cl  0.2899  0.7793  0.5000
Cl  0.7101  0.2207  0.5000
Cl  0.2899  0.2207  0.5000
Cl  0.7101  0.7793  0.5000
Cl  0.7793  0.7101  0.0000
Cl  0.7793  0.2899  0.0000
Cl  0.2207  0.2899  0.0000
Hg  0.0000  0.0000  0.5000
Hg  0.0000  0.0000  0.0000
Be  0.0000  0.5000  0.0000
Be  0.5000  0.0000  0.5000

* total magnetization: 0.0 μB per cell

---

The energetic minimum among the shown structures is ii); the next structure lies 1573 meV per atom above.